No. 1
Computed, not measured: crystalline Tb2Al9Cu3 at its relaxed geometry at the PBE level of DFT.

```
data_Tb2Al9Cu3
_space_group_name_H-M_alt 'P 1'
_space_group_IT_number 1
_space_group_name_Hall 'P 1'
_cell_length_a 7.546
_cell_length_b 7.546
_cell_length_c 10.742
_cell_angle_alpha 111.34
_cell_angle_beta 111.34
_cell_angle_gamma 59.57
loop_
_atom_site_label
_atom_site_type_symbol
_atom_site_fract_x
_atom_site_fract_y
_atom_site_fract_z
Tb1 Tb 0.085 0.251 0.249
Tb2 Tb 0.251 0.085 0.749
Tb3 Tb 0.749 0.915 0.251
Tb4 Tb 0.915 0.749 0.751
Al1 Al 0.022 0.856 0.068
Al2 Al 0.144 0.978 0.432
Al3 Al 0.190 0.357 0.566
Al4 Al 0.211 0.584 0.251
Al5 Al 0.315 0.482 0.944
Al6 Al 0.357 0.190 0.066
Al7 Al 0.371 0.629 0.750
Al8 Al 0.416 0.789 0.249
Al9 Al 0.482 0.315 0.444
Al10 Al 0.518 0.685 0.556
Al11 Al 0.584 0.211 0.751
Al12 Al 0.629 0.371 0.250
Al13 Al 0.643 0.810 0.934
Al14 Al 0.685 0.518 0.056
Al15 Al 0.789 0.416 0.749
Al16 Al 0.810 0.643 0.434
Al17 Al 0.856 0.022 0.568
Al18 Al 0.978 0.144 0.932
Cu1 Cu 0.000 0.500 0.000
Cu2 Cu 0.159 0.670 0.498
Cu3 Cu 0.330 0.841 0.002
Cu4 Cu 0.500 0.000 0.500
Cu5 Cu 0.670 0.159 0.998
Cu6 Cu 0.841 0.330 0.502
```

Computed properties:
**Electronic total energy**: -4.244 eV/atom
**ΔH_f (0 K)**: -0.30 eV/atom
**Space-group type**: C2/c

***

No. 2
Computed, not measured: crystalline Tb2AlCu at its relaxed geometry at the PBE level of DFT.

```
data_Tb2AlCu
_space_group_name_H-M_alt 'P 1'
_space_group_IT_number 1
_space_group_name_Hall 'P 1'
_cell_length_a 3.487
_cell_length_b 3.487
_cell_length_c 7.410
_cell_angle_alpha 90.00
_cell_angle_beta 90.00
_cell_angle_gamma 90.00
loop_
_atom_site_label
_atom_site_type_symbol
_atom_site_fract_x
_atom_site_fract_y
_atom_site_fract_z
Tb1 Tb 0.000 0.000 0.236
Tb2 Tb 0.000 0.000 0.764
Al1 Al 0.500 0.500 0.500
Cu1 Cu 0.500 0.500 0.000
```

Computed properties:
**Electronic total energy**: -4.587 eV/atom
**ΔH_f (0 K)**: -0.31 eV/atom
**Space-group type**: P4/mmm

***

No. 3
Computed, not measured: crystalline TbAlCu3 at its relaxed geometry at the PBE level of DFT.

```
data_TbAlCu3
_space_group_name_H-M_alt 'P 1'
_space_group_IT_number 1
_space_group_name_Hall 'P 1'
_cell_length_a 5.637
_cell_length_b 7.316
_cell_length_c 4.539
_cell_angle_alpha 90.00
_cell_angle_beta 90.00
_cell_angle_gamma 90.00
loop_
_atom_site_label
_atom_site_type_symbol
_atom_site_fract_x
_atom_site_fract_y
_atom_site_fract_z
Tb1 Tb 0.000 0.000 0.000
Tb2 Tb 0.500 0.500 0.000
Al1 Al 0.000 0.500 0.500
Al2 Al 0.500 0.000 0.500
Cu1 Cu 0.000 0.500 0.000
Cu2 Cu 0.245 0.247 0.500
Cu3 Cu 0.255 0.747 0.500
Cu4 Cu 0.500 0.000 0.000
Cu5 Cu 0.745 0.253 0.500
Cu6 Cu 0.755 0.753 0.500
```

Computed properties:
**Electronic total energy**: -4.047 eV/atom
**ΔH_f (0 K)**: 0.09 eV/atom
**Space-group type**: Pbam

***

No. 4
Computed, not measured: crystalline TbAl2Cu9 at its relaxed geometry at the PBE level of DFT.

```
data_TbAl2Cu9
_space_group_name_H-M_alt 'P 1'
_space_group_IT_number 1
_space_group_name_Hall 'P 1'
_cell_length_a 8.464
_cell_length_b 8.464
_cell_length_c 8.464
_cell_angle_alpha 33.97
_cell_angle_beta 33.97
_cell_angle_gamma 33.97
loop_
_atom_site_label
_atom_site_type_symbol
_atom_site_fract_x
_atom_site_fract_y
_atom_site_fract_z
Tb1 Tb 0.000 0.000 0.000
Al1 Al 0.145 0.145 0.145
Al2 Al 0.855 0.855 0.855
Cu1 Cu 0.081 0.590 0.590
Cu2 Cu 0.334 0.334 0.334
Cu3 Cu 0.410 0.410 0.919
Cu4 Cu 0.410 0.919 0.410
Cu5 Cu 0.500 0.500 0.500
Cu6 Cu 0.590 0.081 0.590
Cu7 Cu 0.590 0.590 0.081
Cu8 Cu 0.666 0.666 0.666
Cu9 Cu 0.919 0.410 0.410
```

Computed properties:
**Electronic total energy**: -4.249 eV/atom
**ΔH_f (0 K)**: -0.17 eV/atom
**Space-group type**: R-3m

***

No. 5
Computed, not measured: crystalline Tb4Al3Cu at its relaxed geometry at the PBE level of DFT.

```
data_Tb4Al3Cu
_space_group_name_H-M_alt 'P 1'
_space_group_IT_number 1
_space_group_name_Hall 'P 1'
_cell_length_a 3.450
_cell_length_b 3.450
_cell_length_c 15.513
_cell_angle_alpha 90.00
_cell_angle_beta 90.00
_cell_angle_gamma 90.00
loop_
_atom_site_label
_atom_site_type_symbol
_atom_site_fract_x
_atom_site_fract_y
_atom_site_fract_z
Tb1 Tb 0.000 0.000 0.114
Tb2 Tb 0.000 0.000 0.371
Tb3 Tb 0.000 0.000 0.629
Tb4 Tb 0.000 0.000 0.886
Al1 Al 0.500 0.500 0.241
Al2 Al 0.500 0.500 0.500
Al3 Al 0.500 0.500 0.759
Cu1 Cu 0.500 0.500 0.000
```

Computed properties:
**Electronic total energy**: -4.581 eV/atom
**ΔH_f (0 K)**: -0.35 eV/atom
**Space-group type**: P4/mmm

***

No. 6
Computed, not measured: crystalline TbAl6Cu4 at its relaxed geometry at the PBE level of DFT.

```
data_TbAl6Cu4
_space_group_name_H-M_alt 'P 1'
_space_group_IT_number 1
_space_group_name_Hall 'P 1'
_cell_length_a 7.071
_cell_length_b 7.071
_cell_length_c 3.989
_cell_angle_alpha 90.00
_cell_angle_beta 90.00
_cell_angle_gamma 120.00
loop_
_atom_site_label
_atom_site_type_symbol
_atom_site_fract_x
_atom_site_fract_y
_atom_site_fract_z
Tb1 Tb 0.000 0.000 0.000
Al1 Al 0.067 0.534 0.000
Al2 Al 0.401 0.201 0.500
Al3 Al 0.466 0.534 0.000
Al4 Al 0.466 0.933 0.000
Al5 Al 0.799 0.201 0.500
Al6 Al 0.799 0.599 0.500
Cu1 Cu 0.207 0.413 0.500
Cu2 Cu 0.207 0.793 0.500
Cu3 Cu 0.587 0.793 0.500
Cu4 Cu 0.667 0.333 0.000
```

Computed properties:
**Electronic total energy**: -4.273 eV/atom
**ΔH_f (0 K)**: -0.32 eV/atom
**Space-group type**: P-6m2

***

No. 7
Computed, not measured: crystalline Tb2Al5Cu3 at its relaxed geometry at the PBE level of DFT.

```
data_Tb2Al5Cu3
_space_group_name_H-M_alt 'P 1'
_space_group_IT_number 1
_space_group_name_Hall 'P 1'
_cell_length_a 8.359
_cell_length_b 8.359
_cell_length_c 5.876
_cell_angle_alpha 110.48
_cell_angle_beta 110.48
_cell_angle_gamma 89.23
loop_
_atom_site_label
_atom_site_type_symbol
_atom_site_fract_x
_atom_site_fract_y
_atom_site_fract_z
Tb1 Tb 0.110 0.373 0.242
Tb2 Tb 0.373 0.110 0.742
Tb3 Tb 0.627 0.890 0.258
Tb4 Tb 0.890 0.627 0.758
Al1 Al 0.000 0.000 0.250
Al2 Al 0.000 0.000 0.750
Al3 Al 0.245 0.462 0.853
Al4 Al 0.255 0.745 0.750
Al5 Al 0.256 0.744 0.250
Al6 Al 0.462 0.245 0.353
Al7 Al 0.538 0.755 0.647
Al8 Al 0.744 0.256 0.750
Al9 Al 0.745 0.255 0.250
Al10 Al 0.755 0.538 0.147
Cu1 Cu 0.004 0.747 0.375
Cu2 Cu 0.253 0.996 0.125
Cu3 Cu 0.499 0.501 0.250
Cu4 Cu 0.501 0.499 0.750
Cu5 Cu 0.747 0.004 0.875
Cu6 Cu 0.996 0.253 0.625
```

Computed properties:
**Electronic total energy**: -4.467 eV/atom
**ΔH_f (0 K)**: -0.44 eV/atom
**Space-group type**: C2/c

***

No. 8
Computed, not measured: crystalline TbAl4Cu8 at its relaxed geometry at the PBE level of DFT.

```
data_TbAl4Cu8
_space_group_name_H-M_alt 'P 1'
_space_group_IT_number 1
_space_group_name_Hall 'P 1'
_cell_length_a 6.568
_cell_length_b 6.568
_cell_length_c 6.568
_cell_angle_alpha 98.58
_cell_angle_beta 98.58
_cell_angle_gamma 134.55
loop_
_atom_site_label
_atom_site_type_symbol
_atom_site_fract_x
_atom_site_fract_y
_atom_site_fract_z
Tb1 Tb 0.000 0.000 0.000
Al1 Al 0.000 0.000 0.500
Al2 Al 0.000 0.500 0.000
Al3 Al 0.500 0.000 0.000
Al4 Al 0.500 0.500 0.500
Cu1 Cu 0.000 0.351 0.351
Cu2 Cu 0.000 0.649 0.649
Cu3 Cu 0.281 0.500 0.781
Cu4 Cu 0.351 0.000 0.351
Cu5 Cu 0.500 0.281 0.781
Cu6 Cu 0.500 0.719 0.219
Cu7 Cu 0.649 0.000 0.649
Cu8 Cu 0.719 0.500 0.219
```

Computed properties:
**Electronic total energy**: -4.271 eV/atom
**ΔH_f (0 K)**: -0.24 eV/atom
**Space-group type**: I4/mmm

***

Question: Which value of ΔH_f (0 K) does entry 7 give?
Answer: -0.44 eV/atom

***

Question: What is the formula in the third record?
Answer: TbAlCu3